NiPd3Br8 | Alexandria | GGA-PBE | optimized geometry; electronic total energy = -3.1061 eV/atom; formation energy without anion corrections = -0.21 eV/atom
1.0
7.700 0.000 0.000
-3.850 5.481 -3.803
0.000 0.211 8.168
Br Pd Ni
8 3 1
direct
0.739 0.478 0.216 Br
0.750 0.980 0.209 Br
0.230 0.461 0.209 Br
0.230 0.980 0.209 Br
0.770 0.020 0.791 Br
0.250 0.020 0.791 Br
0.261 0.522 0.784 Br
0.770 0.539 0.791 Br
0.000 0.500 0.000 Pd
0.500 0.500 0.000 Pd
0.500 0.000 0.000 Pd
0.000 0.000 0.000 Ni